Record 1
# LaNdHo2Hg4 PBE-GGA optimized geometry
# Total energy in eV per formula unit: -23.79
# Fermi-level density of states in states/eV/cell: 8.95
# Calculated formation energy in meV per atom: -466.7
# Density in g cm⁻³: 10.733
data_LaNdHo2Hg4
_cell_length_a 9.304
_cell_length_b 9.304
_cell_length_c 9.304
_cell_angle_alpha 33.54
_cell_angle_beta 33.54
_cell_angle_gamma 33.54
_space_group_name_H-M_alt 'P 1'
_space_group_IT_number 1
loop_
_space_group_symop_operation_xyz
'x,y,z'
loop_
_atom_site_label
_atom_site_type_symbol
_atom_site_fract_x
_atom_site_fract_y
_atom_site_fract_z
La1 La 0.000 0.000 0.000
Nd1 Nd 0.500 0.500 0.500
Ho1 Ho 0.249 0.249 0.249
Ho2 Ho 0.751 0.751 0.751
Hg1 Hg 0.126 0.126 0.126
Hg2 Hg 0.376 0.376 0.376
Hg3 Hg 0.624 0.624 0.624
Hg4 Hg 0.874 0.874 0.874



Record 2
# TlAsSe2 PBE-GGA optimized geometry
# Total energy in eV per formula unit: -13.68
# Fermi-level density of states in states/eV/cell: 1.21
# Formation energy (no corrections) in eV per atom: 0.075
# Density in g cm⁻³: 6.921
data_TlAsSe2
_cell_length_a 6.346
_cell_length_b 6.346
_cell_length_c 6.346
_cell_angle_alpha 148.70
_cell_angle_beta 127.08
_cell_angle_gamma 62.78
_space_group_name_H-M_alt 'P 1'
_space_group_IT_number 1
loop_
_space_group_symop_operation_xyz
'x,y,z'
loop_
_atom_site_label
_atom_site_type_symbol
_atom_site_fract_x
_atom_site_fract_y
_atom_site_fract_z
Tl1 Tl 0.000 0.000 0.000
As1 As 0.306 0.806 0.500
Se1 Se 0.470 0.470 0.000
Se2 Se 0.748 0.248 0.500



Record 3
# SrCa2CuHg PBE-GGA optimized geometry
# Total energy in eV per formula unit: -10.37
# Fermi-level density of states in states/eV/cell: 5.28
# Calculated formation energy in meV per atom: -58.4
# Density in g cm⁻³: 4.426
data_SrCa2CuHg
_cell_length_a 5.601
_cell_length_b 5.601
_cell_length_c 5.166
_cell_angle_alpha 90.00
_cell_angle_beta 90.00
_cell_angle_gamma 90.00
_space_group_name_H-M_alt 'P 1'
_space_group_IT_number 1
loop_
_space_group_symop_operation_xyz
'x,y,z'
loop_
_atom_site_label
_atom_site_type_symbol
_atom_site_fract_x
_atom_site_fract_y
_atom_site_fract_z
Sr1 Sr 0.000 0.000 0.000
Ca1 Ca 0.000 0.500 0.500
Ca2 Ca 0.500 0.000 0.500
Cu1 Cu 0.500 0.500 0.500
Hg1 Hg 0.500 0.500 0.000